Entry 1:
# GaPdI2N, relaxed, DFT PBE
data_GaPdI2N
_chemical_formula_sum 'Ga1 Pd1 I2 N1'
_symmetry_space_group_name_H-M 'P 4/m m m'
_symmetry_Int_Tables_number 123
_symmetry_space_group_name_Hall '-P 4 2'
_cell_length_a 5.857
_cell_length_b 5.857
_cell_length_c 3.532
_cell_angle_alpha 90.00
_cell_angle_beta 90.00
_cell_angle_gamma 90.00
loop_
_atom_site_label
_atom_site_fract_x
_atom_site_fract_y
_atom_site_fract_z
_atom_site_occupancy
Ga1 0.000 0.000 0.000 1
Pd1 0.500 0.500 0.500 1
I1 0.000 0.500 0.000 1
N1 0.000 0.000 0.500 1
# * V: 24.23 Å³ per atom
# * formation energy without anion corrections: 0.6988 eV/atom
# * mass density: 6.08 Mg/m³

---

Entry 2:
# LiCuTeF2, relaxed, DFT PBE
data_LiCuTeF2
_chemical_formula_sum 'Li1 Cu1 Te1 F2'
_symmetry_space_group_name_H-M 'P 4/m m m'
_symmetry_Int_Tables_number 123
_symmetry_space_group_name_Hall '-P 4 2'
_cell_length_a 3.768
_cell_length_b 3.768
_cell_length_c 4.991
_cell_angle_alpha 90.00
_cell_angle_beta 90.00
_cell_angle_gamma 90.00
loop_
_atom_site_label
_atom_site_fract_x
_atom_site_fract_y
_atom_site_fract_z
_atom_site_occupancy
Li1 0.000 0.000 0.000 1
Cu1 0.000 0.000 0.500 1
Te1 0.500 0.500 0.500 1
F1 0.000 0.500 0.000 1
# * V: 14.17 Å³ per atom
# * formation energy without anion corrections: -1.1316 eV/atom
# * mass density: 5.53 Mg/m³

---

Entry 3:
# LiCeNpN3, relaxed, DFT PBE
data_LiCeNpN3
_chemical_formula_sum 'Li2 Ce2 Np2 N6'
_symmetry_space_group_name_H-M 'P 1 21/m 1'
_symmetry_Int_Tables_number 11
_symmetry_space_group_name_Hall '-P 2yb'
_cell_length_a 6.881
_cell_length_b 3.436
_cell_length_c 7.151
_cell_angle_alpha 90.00
_cell_angle_beta 103.22
_cell_angle_gamma 90.00
loop_
_atom_site_label
_atom_site_fract_x
_atom_site_fract_y
_atom_site_fract_z
_atom_site_occupancy
Li1 0.085 0.250 0.075 1
Ce1 0.281 0.750 0.817 1
Np1 0.319 0.750 0.332 1
N1 0.011 0.750 0.205 1
N2 0.363 0.250 0.578 1
N3 0.369 0.250 0.122 1
# * V: 13.72 Å³ per atom
# * formation energy without anion corrections: -1.0337 eV/atom
# * mass density: 8.60 Mg/m³

---

Entry 4:
# Pm2Nd5HoSc, relaxed, DFT PBE
data_Pm2Nd5HoSc
_chemical_formula_sum 'Pm8 Nd20 Ho4 Sc4'
_symmetry_space_group_name_H-M 'C m c 21'
_symmetry_Int_Tables_number 36
_symmetry_space_group_name_Hall 'C 2c -2'
_cell_length_a 5.429
_cell_length_b 22.097
_cell_length_c 10.237
_cell_angle_alpha 90.00
_cell_angle_beta 90.00
_cell_angle_gamma 90.00
loop_
_atom_site_label
_atom_site_fract_x
_atom_site_fract_y
_atom_site_fract_z
_atom_site_occupancy
Pm1 0.000 0.116 0.000 1
Pm2 0.000 0.116 0.497 1
Nd1 0.000 0.000 0.249 1
Nd2 0.000 0.277 0.062 1
Nd3 0.000 0.278 0.437 1
Nd4 0.000 0.372 0.749 1
Nd5 0.000 0.500 0.499 1
Ho1 0.000 0.397 0.249 1
Sc1 0.000 0.211 0.749 1
# * V: 34.11 Å³ per atom
# * mass density: 6.60 Mg/m³
# * energy relative to the elements: 117 meV/atom

---

Entry 5:
# Na5Li4O4, relaxed, DFT PBE
data_Na5Li4O4
_chemical_formula_sum 'Na10 Li8 O8'
_symmetry_space_group_name_H-M 'I 4/m'
_symmetry_Int_Tables_number 87
_symmetry_space_group_name_Hall '-I 4'
_cell_length_a 9.634
_cell_length_b 9.634
_cell_length_c 3.474
_cell_angle_alpha 90.00
_cell_angle_beta 90.00
_cell_angle_gamma 90.00
loop_
_atom_site_label
_atom_site_fract_x
_atom_site_fract_y
_atom_site_fract_z
_atom_site_occupancy
Na1 0.000 0.000 0.000 1
Na2 0.125 0.789 0.500 1
Li1 0.079 0.385 0.500 1
O1 0.052 0.297 0.000 1
# * V: 12.40 Å³ per atom
# * formation energy without anion corrections: -1.2271 eV/atom
# * mass density: 2.13 Mg/m³

---

Entry 6:
# Tm3TlIn, relaxed, DFT PBE
data_Tm3TlIn
_chemical_formula_sum 'Tm12 Tl4 In4'
_symmetry_space_group_name_H-M 'C m c m'
_symmetry_Int_Tables_number 63
_symmetry_space_group_name_Hall '-C 2c 2'
_cell_length_a 4.967
_cell_length_b 21.946
_cell_length_c 4.965
_cell_angle_alpha 90.00
_cell_angle_beta 90.00
_cell_angle_gamma 90.00
loop_
_atom_site_label
_atom_site_fract_x
_atom_site_fract_y
_atom_site_fract_z
_atom_site_occupancy
Tm1 0.000 0.056 0.250 1
Tm2 0.000 0.250 0.250 1
Tm3 0.000 0.444 0.250 1
Tl1 0.000 0.153 0.750 1
In1 0.000 0.346 0.750 1
# * V: 27.06 Å³ per atom
# * mass density: 10.14 Mg/m³
# * energy relative to the elements: -309 meV/atom

---

Entry 7:
# Ti5PtC, relaxed, DFT PBE
data_Ti5PtC
_chemical_formula_sum 'Ti20 Pt4 C4'
_symmetry_space_group_name_H-M 'C 1 2/c 1'
_symmetry_Int_Tables_number 15
_symmetry_space_group_name_Hall '-C 2yc'
_cell_length_a 9.409
_cell_length_b 5.693
_cell_length_c 8.899
_cell_angle_alpha 90.00
_cell_angle_beta 116.57
_cell_angle_gamma 90.00
loop_
_atom_site_label
_atom_site_fract_x
_atom_site_fract_y
_atom_site_fract_z
_atom_site_occupancy
Ti1 0.000 0.017 0.250 1
Ti2 0.130 0.310 0.047 1
Ti3 0.208 0.187 0.616 1
Pt1 0.000 0.492 0.750 1
C1 0.000 0.000 0.000 1
# * V: 15.23 Å³ per atom
# * mass density: 6.96 Mg/m³
# * energy relative to the elements: -463 meV/atom

---

Entry 8:
# PuZn3Au, relaxed, DFT PBE
data_PuZn3Au
_chemical_formula_sum 'Pu2 Zn6 Au2'
_symmetry_space_group_name_H-M 'P 63/m m c'
_symmetry_Int_Tables_number 194
_symmetry_space_group_name_Hall '-P 6c 2c'
_cell_length_a 6.3805
_cell_length_b 6.3805
_cell_length_c 5.6476
_cell_angle_alpha 90.00
_cell_angle_beta 90.00
_cell_angle_gamma 120.00
loop_
_atom_site_label
_atom_site_fract_x
_atom_site_fract_y
_atom_site_fract_z
_atom_site_occupancy
Pu1 0.3333 0.6667 0.2500 1
Zn1 0.1999 0.3997 0.7500 1
Au1 0.0000 0.0000 0.0000 1
# * V: 19.91 Å³ per atom
# * mass density: 10.63 Mg/m³
# * energy relative to the elements: -103 meV/atom

---

Electronic total energy (computed, eV per atom): -3.23 -3.71 -8.66 -4.80 -3.85 -4.01 -8.28 -4.39